(1)
# LiPb meta-GGA SCAN single point on PBEsol structure
# ΔE_f   -276.4 meV per atom
data_LiPb
_chemical_formula_sum 'Li2 Pb2'
_space_group_name_H-M_alt 'P 1'
_space_group_IT_number 1
_space_group_name_Hall 'P 1'
_cell_length_a 3.332
_cell_length_b 5.502
_cell_length_c 5.045
_cell_angle_alpha 90.00
_cell_angle_beta 90.00
_cell_angle_gamma 90.00
loop_
_atom_site_label
_atom_site_fract_x
_atom_site_fract_y
_atom_site_fract_z
_atom_site_occupancy
Li1 0.250 0.250 0.100 1
Li2 0.750 0.750 0.900 1
Pb1 0.250 0.750 0.397 1
Pb2 0.750 0.250 0.603 1



(2)
# LaYCd2 meta-GGA SCAN single point on PBEsol structure
# Offset from the most stable computed form   27 meV per atom
# ΔE_f   -429.0 meV per atom
data_LaYCd2
_chemical_formula_sum 'La1 Y1 Cd2'
_space_group_name_H-M_alt 'P 1'
_space_group_IT_number 1
_space_group_name_Hall 'P 1'
_cell_length_a 3.632
_cell_length_b 5.375
_cell_length_c 5.457
_cell_angle_alpha 90.00
_cell_angle_beta 90.00
_cell_angle_gamma 90.00
loop_
_atom_site_label
_atom_site_fract_x
_atom_site_fract_y
_atom_site_fract_z
_atom_site_occupancy
La1 0.000 0.000 0.000 1
Y1 0.000 0.500 0.546 1
Cd1 0.500 0.000 0.493 1
Cd2 0.500 0.500 0.063 1